1.
# PbAu2Br

A relaxed PbAu2Br crystal (PBE, Alexandria).

## Properties
ΔE_f (raw) = -0.120 eV per atom
symmetry = Cm, No. 8

a b c (Å): 4.7626 4.7626 7.2213
angles (deg): 114.80 114.80 50.57
With the nearest neighbours (Å) after each atom.
Element x y z (fractional)
Pb1 0.0000 0.0000 0.0000  5 Au 2.97-3.17, 2 Br 3.30
Au1 0.2231 0.2231 0.7845  3 Au 2.76-2.78, 3 Pb 2.97-2.98
Au2 0.4754 0.4754 0.6506  3 Au 2.76-2.78, 2 Br 2.92
Br1 0.8060 0.8060 0.3277  2 Au 2.92



2.
# Al3ZnAg6

A relaxed Al3ZnAg6 crystal (PBE, Alexandria).

## Properties
symmetry = P2_1/m, No. 11
calculated formation energy = -0.042 eV per atom

a b c (Å): 7.6613 4.7674 9.7842
angles (deg): 90.00 108.85 90.00
With the nearest neighbours (Å) after each atom.
Element x y z (fractional)
Al1 0.0978 0.2500 0.2314  8 Ag 2.80-2.95, 4 Al 2.92-2.93
Al2 0.1004 0.2500 0.7294  8 Ag 2.75-2.89, 3 Al 2.89-2.92, 1 Zn 2.94
Al3 0.2986 0.7500 0.3734  8 Ag 2.76-2.90, 3 Al 2.89-2.93, 1 Zn 2.94
Al4 0.7014 0.2500 0.6266  8 Ag 2.76-2.90, 3 Al 2.89-2.93, 1 Zn 2.94
Al5 0.8996 0.7500 0.2706  8 Ag 2.75-2.89, 3 Al 2.89-2.92, 1 Zn 2.94
Al6 0.9022 0.7500 0.7686  8 Ag 2.80-2.95, 4 Al 2.92-2.93
Zn1 0.4942 0.7500 0.1599  10 Ag 2.80-2.94, 2 Al 2.94
Zn2 0.5058 0.2500 0.8401  10 Ag 2.80-2.94, 2 Al 2.94
Ag1 0.0971 0.7500 0.5677  7 Ag 2.80-3.04, 5 Al 2.81-2.86
Ag2 0.0994 0.7500 0.0825  5 Al 2.75-2.95, 1 Zn 2.87, 6 Ag 2.90-3.00
Ag3 0.2931 0.7500 0.8635  6 Ag 2.80-2.97, 3 Zn 2.81-2.94, 3 Al 2.83-2.89
Ag4 0.2999 0.2500 0.0299  3 Zn 2.80-2.88, 2 Al 2.84-2.87, 7 Ag 2.85-2.97
Ag5 0.3041 0.2500 0.5430  5 Al 2.76-2.95, 6 Ag 2.81-2.92, 1 Zn 2.82
Ag6 0.4843 0.2500 0.3338  4 Al 2.80-2.87, 6 Ag 2.81-3.04, 2 Zn 2.94
Ag7 0.5157 0.7500 0.6662  4 Al 2.80-2.87, 6 Ag 2.81-3.04, 2 Zn 2.94
Ag8 0.6959 0.7500 0.4570  5 Al 2.76-2.95, 6 Ag 2.81-2.92, 1 Zn 2.82
Ag9 0.7001 0.7500 0.9701  3 Zn 2.80-2.88, 2 Al 2.84-2.87, 7 Ag 2.85-2.97
Ag10 0.7069 0.2500 0.1365  6 Ag 2.80-2.97, 3 Zn 2.81-2.94, 3 Al 2.83-2.89
Ag11 0.9006 0.2500 0.9175  5 Al 2.75-2.95, 1 Zn 2.87, 6 Ag 2.90-3.00
Ag12 0.9029 0.2500 0.4323  7 Ag 2.80-3.04, 5 Al 2.81-2.86



3.
# BaHgMo2

A relaxed BaHgMo2 crystal (PBE, Alexandria).

## Properties
symmetry = F-43m, No. 216
calculated formation energy = 1.088 eV per atom

a b c (Å): 5.0606 5.0606 5.0606
angles (deg): 60.00 60.00 60.00
With the nearest neighbours (Å) after each atom.
Element x y z (fractional)
Ba1 0.0000 0.0000 0.0000  4 Hg 3.10, 4 Mo 3.10
Hg1 0.2500 0.2500 0.2500  4 Ba 3.10, 4 Mo 3.10
Mo1 0.5000 0.5000 0.5000  4 Hg 3.10, 4 Mo 3.10
Mo2 0.7500 0.7500 0.7500  4 Ba 3.10, 4 Mo 3.10



4.
# ZrTa4Se8

A relaxed ZrTa4Se8 crystal (PBE, Alexandria).

## Properties
ΔE_f (raw) = -0.741 eV per atom
symmetry = R-3m, No. 166

a b c (Å): 7.6261 7.6261 7.6261
angles (deg): 55.89 55.89 55.89
With the nearest neighbours (Å) after each atom.
Element x y z (fractional)
Zr1 0.0000 0.0000 0.0000  6 Se 2.65
Ta1 0.0000 0.0000 0.5000  6 Se 2.62-2.68
Ta2 0.0000 0.5000 0.0000  6 Se 2.62-2.68
Ta3 0.5000 0.0000 0.0000  6 Se 2.62-2.68
Ta4 0.5000 0.5000 0.5000  6 Se 2.57
Se1 0.2505 0.2505 0.2505  3 Ta 2.62
Se2 0.2546 0.2546 0.7339  3 Ta 2.57-2.68, 1 Zr 2.65
Se3 0.2546 0.7339 0.2546  3 Ta 2.57-2.68, 1 Zr 2.65
Se4 0.2661 0.7454 0.7454  3 Ta 2.57-2.68, 1 Zr 2.65
Se5 0.7339 0.2546 0.2546  3 Ta 2.57-2.68, 1 Zr 2.65
Se6 0.7454 0.2661 0.7454  3 Ta 2.57-2.68, 1 Zr 2.65
Se7 0.7454 0.7454 0.2661  3 Ta 2.57-2.68, 1 Zr 2.65
Se8 0.7495 0.7495 0.7495  3 Ta 2.62



5.
# Ni3Pd3Pt2

A relaxed Ni3Pd3Pt2 crystal (PBE, Alexandria).

## Properties
symmetry = Immm, No. 71
calculated formation energy = 0.003 eV per atom

a b c (Å): 8.1489 8.1489 8.1489
angles (deg): 153.36 152.44 38.70
With the nearest neighbours (Å) after each atom.
Element x y z (fractional)
Ni1 0.0000 0.0000 0.0000  8 Pd 2.64-2.70, 4 Ni 2.72
Ni2 0.3764 0.8764 0.5000  6 Pd 2.67-2.70, 4 Pt 2.69-2.76, 2 Ni 2.72
Ni3 0.6236 0.1236 0.5000  6 Pd 2.67-2.70, 4 Pt 2.69-2.76, 2 Ni 2.72
Pd1 0.1203 0.6203 0.5000  6 Ni 2.64-2.70, 2 Pd 2.68, 4 Pt 2.75-2.77
Pd2 0.5000 0.5000 0.0000  8 Ni 2.67-2.70, 4 Pd 2.68
Pd3 0.8797 0.3797 0.5000  6 Ni 2.64-2.70, 2 Pd 2.68, 4 Pt 2.75-2.77
Pt1 0.2513 0.2513 0.0000  4 Ni 2.69-2.76, 4 Pt 2.70, 4 Pd 2.75-2.77
Pt2 0.7487 0.7487 0.0000  4 Ni 2.69-2.76, 4 Pt 2.70, 4 Pd 2.75-2.77



6.
# Be2HgPb

A relaxed Be2HgPb crystal (PBE, Alexandria).

## Properties
symmetry = P4mm, No. 99
calculated formation energy = 0.638 eV per atom

a b c (Å): 3.8686 3.8686 4.9580
angles (deg): 90.00 90.00 90.00
With the nearest neighbours (Å) after each atom.
Element x y z (fractional)
Be1 0.0000 0.0000 0.0000  1 Hg 2.32
Be2 0.5000 0.5000 0.3118  2 Pb 2.45-2.51
Hg1 0.0000 0.0000 0.4689  1 Be 2.32
Pb1 0.5000 0.5000 0.8179  2 Be 2.45-2.51



7.
# YTl2PtW

A relaxed YTl2PtW crystal (PBE, Alexandria).

## Properties
symmetry = P4/mmm, No. 123
calculated formation energy = 1.653 eV per atom

a b c (Å): 5.8132 5.8132 5.0360
angles (deg): 90.00 90.00 90.00
With the nearest neighbours (Å) after each atom.
Element x y z (fractional)
Y1 0.0000 0.0000 0.0000  2 Pt 2.52
Tl1 0.0000 0.5000 0.0000  2 Y 2.91
Tl2 0.5000 0.0000 0.0000  2 Y 2.91
Pt1 0.0000 0.0000 0.5000  2 Y 2.52
W1 0.5000 0.5000 0.5000  8 Tl 3.85, 4 Pt 4.11



8.
# Cs8B3O8

A relaxed Cs8B3O8 crystal (PBE, Alexandria).

## Properties
ΔE_f (raw) = -1.798 eV per atom
symmetry = C2/m, No. 12

a b c (Å): 12.4583 12.4583 9.1200
angles (deg): 106.75 106.75 24.98
With the nearest neighbours (Å) after each atom.
Element x y z (fractional)
Cs1 0.0608 0.0608 0.2761  2 O 2.86-3.01
Cs2 0.2079 0.2079 0.8442  4 O 2.89-3.04
Cs3 0.3094 0.3094 0.5061  4 O 2.97-2.98
Cs4 0.4010 0.4010 0.0587  3 O 2.99-3.20
Cs5 0.5990 0.5990 0.9413  3 O 2.99-3.20
Cs6 0.6906 0.6906 0.4939  4 O 2.97-2.98
Cs7 0.7921 0.7921 0.1558  4 O 2.89-3.04
Cs8 0.9392 0.9392 0.7239  2 O 2.86-3.01
B1 0.1883 0.1883 0.1993  3 O 1.41
B2 0.5000 0.5000 0.5000  2 O 1.28
B3 0.8117 0.8117 0.8007  3 O 1.41
O1 0.1383 0.1383 0.0722  1 B 1.41
O2 0.1837 0.1837 0.3495  1 B 1.41
O3 0.2430 0.2430 0.1763  1 B 1.41
O4 0.4930 0.4930 0.6332  1 B 1.28
O5 0.5070 0.5070 0.3668  1 B 1.28
O6 0.7570 0.7570 0.8237  1 B 1.41
O7 0.8163 0.8163 0.6505  1 B 1.41
O8 0.8617 0.8617 0.9278  1 B 1.41



9.
# Er4InAg2Ru

A relaxed Er4InAg2Ru crystal (PBE, Alexandria).

## Properties
symmetry = R-3m, No. 166
calculated formation energy = -0.426 eV per atom

a b c (Å): 8.7328 8.7328 8.7328
angles (deg): 33.75 33.75 33.75
With the nearest neighbours (Å) after each atom.
Element x y z (fractional)
Er1 0.1141 0.1141 0.1141  1 Ru 2.82, 3 Ag 2.98
Er2 0.3674 0.3674 0.3674  3 Ru 3.05, 4 Ag 3.08-3.25, 1 In 3.27, 3 Er 3.37
Er3 0.6326 0.6326 0.6326  3 Ru 3.05, 4 Ag 3.08-3.25, 1 In 3.27, 3 Er 3.37
Er4 0.8859 0.8859 0.8859  1 Ru 2.82, 3 Ag 2.98
In1 0.5000 0.5000 0.5000  8 Er 3.20-3.27, 6 Ag 3.48
Ag1 0.2425 0.2425 0.2425  8 Er 2.98-3.25
Ag2 0.7575 0.7575 0.7575  8 Er 2.98-3.25
Ru1 0.0000 0.0000 0.0000  8 Er 2.82-3.05



10.
# AcSnPb3

A relaxed AcSnPb3 crystal (PBE, Alexandria).

## Properties
symmetry = I-4m2, No. 119
calculated formation energy = 0.006 eV per atom

a b c (Å): 11.3448 11.3448 11.3448
angles (deg): 146.58 146.58 47.98
With the nearest neighbours (Å) after each atom.
Element x y z (fractional)
Ac1 0.2162 0.2162 0.0000  2 Sn 3.34, 4 Pb 3.42-3.68
Ac2 0.7838 0.7838 0.0000  2 Sn 3.34, 4 Pb 3.42-3.68
Sn1 0.2500 0.7500 0.5000  4 Pb 3.07, 4 Ac 3.34
Sn2 0.5000 0.5000 0.0000  4 Pb 3.06
Pb1 0.3744 0.6246 0.7498  2 Sn 3.06-3.07, 2 Pb 3.26
Pb2 0.3754 0.1252 0.7498  2 Sn 3.06-3.07, 2 Pb 3.26
Pb3 0.3754 0.6256 0.2502  2 Sn 3.06-3.07, 2 Pb 3.26
Pb4 0.6669 0.1669 0.5000  2 Ac 3.42, 5 Pb 3.45-3.75
Pb5 0.8331 0.3331 0.5000  2 Ac 3.42, 5 Pb 3.45-3.75
Pb6 0.8748 0.6246 0.2502  2 Sn 3.06-3.07, 2 Pb 3.26



11.
# Y2VSbC

A relaxed Y2VSbC crystal (PBE, Alexandria).

## Properties
ΔE_f (raw) = -0.482 eV per atom
symmetry = P4/mmm, No. 123

a b c (Å): 4.9741 4.9741 4.0854
angles (deg): 90.00 90.00 90.00
With the nearest neighbours (Å) after each atom.
Element x y z (fractional)
Y1 0.0000 0.5000 0.0000  2 C 2.49
Y2 0.5000 0.0000 0.0000  2 C 2.49
V1 0.0000 0.0000 0.5000  2 C 2.04
Sb1 0.5000 0.5000 0.5000  8 Y 3.22, 4 V 3.52
C1 0.0000 0.0000 0.0000  2 V 2.04



12.
# MgAl2As

A relaxed MgAl2As crystal (PBE, Alexandria).

## Properties
symmetry = P4/mmm, No. 123
calculated formation energy = 0.049 eV per atom

a b c (Å): 3.3916 3.3916 6.5748
angles (deg): 90.00 90.00 90.00
With the nearest neighbours (Å) after each atom.
Element x y z (fractional)
Mg1 0.0000 0.0000 0.0000  8 Al 3.04, 2 As 3.29, 4 Mg 3.39
Al1 0.5000 0.5000 0.2840  4 As 2.79, 1 Al 2.84, 4 Mg 3.04
Al2 0.5000 0.5000 0.7160  4 As 2.79, 1 Al 2.84, 4 Mg 3.04
As1 0.0000 0.0000 0.5000  8 Al 2.79



13.
# SnTeI2Cl

A relaxed SnTeI2Cl crystal (PBE, Alexandria).

## Properties
ΔE_f (raw) = 0.401 eV per atom
symmetry = P4/mmm, No. 123

a b c (Å): 5.4849 5.4849 5.9655
angles (deg): 90.00 90.00 90.00
With the nearest neighbours (Å) after each atom.
Element x y z (fractional)
Sn1 0.0000 0.0000 0.0000  4 Te 3.88, 8 I 4.05
Te1 0.5000 0.5000 0.0000  2 Cl 2.98
I1 0.0000 0.5000 0.5000  2 Cl 2.74
I2 0.5000 0.0000 0.5000  2 Cl 2.74
Cl1 0.5000 0.5000 0.5000  4 I 2.74, 2 Te 2.98



14.
# PrSm4Er3Te8

A relaxed PrSm4Er3Te8 crystal (PBE, Alexandria).

## Properties
ΔE_f (raw) = -1.319 eV per atom
symmetry = R-3m, No. 166

a b c (Å): 8.8352 8.8352 8.8352
angles (deg): 59.79 59.79 59.79
With the nearest neighbours (Å) after each atom.
Element x y z (fractional)
Pr1 0.0000 0.0000 0.0000  6 Te 3.15
Sm1 0.0000 0.0000 0.5000  6 Te 3.17
Sm2 0.0000 0.5000 0.0000  6 Te 3.17
Sm3 0.5000 0.0000 0.0000  6 Te 3.17
Sm4 0.5000 0.5000 0.5000  6 Te 3.09
Er1 0.0000 0.5000 0.5000  6 Te 3.07
Er2 0.5000 0.0000 0.5000  6 Te 3.07
Er3 0.5000 0.5000 0.0000  6 Te 3.07
Te1 0.2523 0.2523 0.7400  2 Er 3.07, 3 Sm 3.09-3.17, 1 Pr 3.15
Te2 0.2523 0.7400 0.2523  2 Er 3.07, 3 Sm 3.09-3.17, 1 Pr 3.15
Te3 0.2538 0.2538 0.2538  3 Er 3.07, 3 Sm 3.17
Te4 0.2600 0.7477 0.7477  2 Er 3.07, 3 Sm 3.09-3.17, 1 Pr 3.15
Te5 0.7400 0.2523 0.2523  2 Er 3.07, 3 Sm 3.09-3.17, 1 Pr 3.15
Te6 0.7462 0.7462 0.7462  3 Er 3.07, 3 Sm 3.17
Te7 0.7477 0.2600 0.7477  2 Er 3.07, 3 Sm 3.09-3.17, 1 Pr 3.15
Te8 0.7477 0.7477 0.2600  2 Er 3.07, 3 Sm 3.09-3.17, 1 Pr 3.15



15.
# Er2Cd3Pd7

A relaxed Er2Cd3Pd7 crystal (PBE, Alexandria).

## Properties
symmetry = C2/m, No. 12
calculated formation energy = -0.617 eV per atom

a b c (Å): 4.3117 4.3117 11.9799
angles (deg): 100.34 100.34 89.96
With the nearest neighbours (Å) after each atom.
Element x y z (fractional)
Er1 0.1629 0.1629 0.3260  8 Pd 2.87-2.95, 4 Cd 3.05
Er2 0.8371 0.8371 0.6740  8 Pd 2.87-2.95, 4 Cd 3.05
Cd1 0.0000 0.0000 0.0000  12 Pd 2.86-3.05
Cd2 0.3370 0.3370 0.6738  8 Pd 2.87-2.95, 4 Er 3.05
Cd3 0.6630 0.6630 0.3262  8 Pd 2.87-2.95, 4 Er 3.05
Pd1 0.0810 0.5812 0.1625  4 Cd 2.86-2.87, 6 Pd 2.86-3.05, 2 Er 2.87
Pd2 0.2501 0.7499 0.5000  4 Cd 2.95, 4 Er 2.95, 4 Pd 3.05
Pd3 0.4188 0.9190 0.8375  4 Cd 2.86-2.87, 6 Pd 2.86-3.05, 2 Er 2.87
Pd4 0.5000 0.5000 0.0000  8 Pd 2.86, 4 Cd 3.05
Pd5 0.5812 0.0810 0.1625  4 Cd 2.86-2.87, 6 Pd 2.86-3.05, 2 Er 2.87
Pd6 0.7499 0.2501 0.5000  4 Cd 2.95, 4 Er 2.95, 4 Pd 3.05
Pd7 0.9190 0.4188 0.8375  4 Cd 2.86-2.87, 6 Pd 2.86-3.05, 2 Er 2.87



16.
# RbYTi3

A relaxed RbYTi3 crystal (PBE, Alexandria).

## Properties
symmetry = Pm-3m, No. 221
calculated formation energy = 1.569 eV per atom

a b c (Å): 5.3447 5.3447 5.3447
angles (deg): 90.00 90.00 90.00
With the nearest neighbours (Å) after each atom.
Element x y z (fractional)
Rb1 0.0000 0.0000 0.0000  12 Ti 3.78
Y1 0.5000 0.5000 0.5000  6 Ti 2.67
Ti1 0.0000 0.5000 0.5000  2 Y 2.67
Ti2 0.5000 0.0000 0.5000  2 Y 2.67
Ti3 0.5000 0.5000 0.0000  2 Y 2.67



17.
# KTe2Pb

A relaxed KTe2Pb crystal (PBE, Alexandria).

## Properties
ΔE_f (raw) = -0.436 eV per atom
symmetry = P4mm, No. 99

a b c (Å): 4.4494 4.4494 8.5840
angles (deg): 90.00 90.00 90.00
With the nearest neighbours (Å) after each atom.
Element x y z (fractional)
K1 0.0000 0.0000 0.0000  5 Te 3.43-3.57
Te1 0.0000 0.0000 0.4162  4 Pb 3.23, 1 K 3.57
Te2 0.5000 0.5000 0.8403  1 Pb 2.91
Pb1 0.5000 0.5000 0.5011  5 Te 2.91-3.23



18.
# NaCd6

A relaxed NaCd6 crystal (PBE, Alexandria).

## Properties
symmetry = P4/nbm, No. 125
calculated formation energy = -0.008 eV per atom

a b c (Å): 5.9451 5.9451 9.7716
angles (deg): 90.00 90.00 90.00
With the nearest neighbours (Å) after each atom.
Element x y z (fractional)
Na1 0.2500 0.7500 0.0000  8 Cd 3.29
Na2 0.7500 0.2500 0.0000  8 Cd 3.29
Cd1 0.0719 0.5719 0.3603  8 Cd 2.99-3.09
Cd2 0.0719 0.9281 0.6397  8 Cd 2.99-3.09
Cd3 0.2500 0.2500 0.1454  5 Cd 2.84-3.03
Cd4 0.2500 0.2500 0.8546  5 Cd 2.84-3.03
Cd5 0.4281 0.5719 0.6397  8 Cd 2.99-3.09
Cd6 0.4281 0.9281 0.3603  8 Cd 2.99-3.09
Cd7 0.5719 0.0719 0.6397  8 Cd 2.99-3.09
Cd8 0.5719 0.4281 0.3603  8 Cd 2.99-3.09
Cd9 0.7500 0.7500 0.1454  5 Cd 2.84-3.03
Cd10 0.7500 0.7500 0.8546  5 Cd 2.84-3.03
Cd11 0.9281 0.0719 0.3603  8 Cd 2.99-3.09
Cd12 0.9281 0.4281 0.6397  8 Cd 2.99-3.09



19.
# Pm4Au2SCl

A relaxed Pm4Au2SCl crystal (PBE, Alexandria).

## Properties
ΔE_f (raw) = -1.211 eV per atom
symmetry = P2/m, No. 10

a b c (Å): 7.1727 4.1451 7.4441
angles (deg): 90.00 108.78 90.00
With the nearest neighbours (Å) after each atom.
Element x y z (fractional)
Pm1 0.2378 0.0000 0.2379  2 S 2.90, 1 Cl 2.97, 3 Au 2.98-3.05
Pm2 0.2413 0.5000 0.7543  1 S 2.89, 3 Au 2.96-3.05, 2 Cl 2.98
Pm3 0.7587 0.5000 0.2457  1 S 2.89, 3 Au 2.96-3.05, 2 Cl 2.98
Pm4 0.7622 0.0000 0.7621  2 S 2.90, 1 Cl 2.97, 3 Au 2.98-3.05
Au1 0.0000 0.0000 0.5000  6 Pm 2.96-2.98
Au2 0.5000 0.5000 0.5000  6 Pm 3.05
S1 0.0000 0.5000 0.0000  6 Pm 2.89-2.90
Cl1 0.5000 0.0000 0.0000  6 Pm 2.97-2.98



20.
# Sm2ThAg6

A relaxed Sm2ThAg6 crystal (PBE, Alexandria).

## Properties
symmetry = P6/mmm, No. 191
calculated formation energy = -0.214 eV per atom

a b c (Å): 8.3661 8.3661 3.4610
angles (deg): 90.00 90.00 120.00
With the nearest neighbours (Å) after each atom.
Element x y z (fractional)
Sm1 0.3333 0.6667 0.0000  12 Ag 3.28, 2 Sm 3.46
Sm2 0.6667 0.3333 0.0000  12 Ag 3.28, 2 Sm 3.46
Th1 0.0000 0.0000 0.0000  12 Ag 3.29, 2 Th 3.46
Ag1 0.0000 0.3343 0.5000  3 Ag 2.77-2.80
Ag2 0.0000 0.6657 0.5000  3 Ag 2.77-2.80
Ag3 0.3343 0.0000 0.5000  3 Ag 2.77-2.80
Ag4 0.3343 0.3343 0.5000  3 Ag 2.77-2.80
Ag5 0.6657 0.0000 0.5000  3 Ag 2.77-2.80
Ag6 0.6657 0.6657 0.5000  3 Ag 2.77-2.80